No. 1
Here is crystalline LiCd6InPb at its relaxed geometry from the Alexandria database. Energies are from PBE.

abc: 7.675 10.508 12.509
angles: 90.00 90.00 90.00
Space group Imma (No. 74)
Unique sites:
Li (0.250, 0.250, 0.250)
Cd (0.000, 0.250, 0.065)
Cd (0.000, 0.250, 0.587)
Cd (0.194, 0.008, 0.136)
In (0.000, 0.000, 0.500)
Pb (0.000, 0.250, 0.823)

For the mass density, the calculation gives 6.61 g/cm3. The value obtained for the formation energy is 110.8 meV per atom.

---

No. 2
Here is crystalline Li2Cd2InPb2 at its relaxed geometry from the Alexandria database. Energies are from PBE.

abc: 10.520 4.464 7.265
angles: 90.00 96.74 90.00
Space group C2/m (No. 12)
Unique sites:
Li (0.215, 0.000, 0.139)
Cd (0.082, 0.000, 0.747)
In (0.000, 0.500, 0.000)
Pb (0.142, 0.500, 0.420)

For the mass density, the calculation gives 7.53 g/cm3. The value obtained for the formation energy is -116.2 meV per atom.

---

No. 3
Here is crystalline Li2Cd2In2Pb at its relaxed geometry from the Alexandria database. Energies are from PBE.

abc: 4.8672 4.8672 23.8100
angles: 90.00 90.00 120.00
Space group R-3m (No. 166, hexagonal axes)
Unique sites:
Li (0.0000, 0.0000, 0.2252)
Cd (0.0000, 0.0000, 0.0864)
In (0.0000, 0.0000, 0.3617)
Pb (0.0000, 0.0000, 0.5000)

For the mass density, the calculation gives 6.89 g/cm3. The value obtained for the formation energy is -122.1 meV per atom.

---

No. 4
Here is crystalline Li2CdIn2Pd2 at its relaxed geometry from the Alexandria database. Energies are from PBE.

abc: 9.399 4.034 6.666
angles: 90.00 96.58 90.00
Space group C2/m (No. 12)
Unique sites:
Li (0.204, 0.000, 0.168)
Cd (0.000, 0.500, 0.000)
In (0.092, 0.000, 0.696)
Pd (0.133, 0.500, 0.404)

For the mass density, the calculation gives 7.52 g/cm3. The value obtained for the formation energy is -411.5 meV per atom.